Entry 1:
# RbAlP (PBE, relaxed)
data_RbAlP
_chemical_formula_sum 'Rb2 Al2 P2'
_space_group_name_H-M_alt 'P 1'
_space_group_IT_number 1
_cell_length_a 3.9836
_cell_length_b 5.6588
_cell_length_c 8.0047
_cell_angle_alpha 100.52
_cell_angle_beta 90.18
_cell_angle_gamma 110.53
loop_
_space_group_symop_operation_xyz
'x,y,z'
loop_
_atom_site_label
_atom_site_type_symbol
_atom_site_fract_x
_atom_site_fract_y
_atom_site_fract_z
Rb1 Rb 0.5076 0.9512 0.8653
Rb2 Rb 0.2041 0.3480 0.5905
Al1 Al 0.4548 0.8546 0.3012
Al2 Al 0.7106 0.3668 0.2315
P1 P 0.9035 0.7498 0.4604
P2 P 0.2563 0.4599 0.0739
# formation energy from the elements	-1.20	eV/f.u.
# symmetry	P1, No. 1
# M_tot	0.000	μB per cell
# electronic total energy	-3.77	eV per atom

=====

Entry 2:
# Rb3AlP (PBE, relaxed)
data_Rb3AlP
_chemical_formula_sum 'Rb3 Al1 P1'
_space_group_name_H-M_alt 'P 1'
_space_group_IT_number 1
_cell_length_a 6.5697
_cell_length_b 6.5697
_cell_length_c 6.5697
_cell_angle_alpha 90.00
_cell_angle_beta 90.00
_cell_angle_gamma 90.00
loop_
_space_group_symop_operation_xyz
'x,y,z'
loop_
_atom_site_label
_atom_site_type_symbol
_atom_site_fract_x
_atom_site_fract_y
_atom_site_fract_z
P1 P 0.0000 0.0000 0.0000
Al1 Al 0.5000 0.5000 0.5000
Rb1 Rb 0.0000 0.5000 0.0000
Rb2 Rb 0.0000 0.0000 0.5000
Rb3 Rb 0.5000 0.0000 0.0000
# formation energy from the elements	2.12	eV/f.u.
# symmetry	Pm-3m, No. 221
# density of states at the Fermi level	7.21	states/eV per cell
# M_tot	2.062	μB per cell
# electronic total energy	-1.99	eV per atom

=====

Entry 3:
# Rb3Al2P4 (PBE, relaxed)
data_Rb3Al2P4
_chemical_formula_sum 'Rb3 Al2 P4'
_space_group_name_H-M_alt 'P 1'
_space_group_IT_number 1
_cell_length_a 4.0153
_cell_length_b 7.8917
_cell_length_c 9.2794
_cell_angle_alpha 119.70
_cell_angle_beta 102.49
_cell_angle_gamma 90.00
loop_
_space_group_symop_operation_xyz
'x,y,z'
loop_
_atom_site_label
_atom_site_type_symbol
_atom_site_fract_x
_atom_site_fract_y
_atom_site_fract_z
Rb1 Rb 0.1499 0.5239 0.3000
Rb2 Rb 0.8501 0.4761 0.7000
Rb3 Rb 0.0000 0.0000 0.0000
Al1 Al 0.6732 0.9208 0.3464
Al2 Al 0.3268 0.0792 0.6536
P1 P 0.5213 0.6545 0.0424
P2 P 0.2029 0.1217 0.4058
P3 P 0.4787 0.3455 0.9576
P4 P 0.7971 0.8783 0.5942
# formation energy from the elements	-4.08	eV/f.u.
# symmetry	C2/m, No. 12
# density of states at the Fermi level	1.84	states/eV per cell
# M_tot	0.000	μB per cell
# electronic total energy	-4.01	eV per atom

=====

Entry 4:
# RbAlP (PBE, relaxed)
data_RbAlP
_chemical_formula_sum 'Rb1 Al1 P1'
_space_group_name_H-M_alt 'P 1'
_space_group_IT_number 1
_cell_length_a 6.2234
_cell_length_b 4.0069
_cell_length_c 4.0069
_cell_angle_alpha 120.00
_cell_angle_beta 90.00
_cell_angle_gamma 90.00
loop_
_space_group_symop_operation_xyz
'x,y,z'
loop_
_atom_site_label
_atom_site_type_symbol
_atom_site_fract_x
_atom_site_fract_y
_atom_site_fract_z
P1 P 0.2305 0.3333 0.6667
Al1 Al 0.1180 0.0000 0.0000
Rb1 Rb 0.6515 0.6667 0.3333
# formation energy from the elements	-0.71	eV/f.u.
# symmetry	P3m1, No. 156
# density of states at the Fermi level	1.10	states/eV per cell
# M_tot	0.770	μB per cell
# electronic total energy	-3.61	eV per atom

=====

Entry 5:
# RbAlP (PBE, relaxed)
data_RbAlP
_chemical_formula_sum 'Rb2 Al2 P2'
_space_group_name_H-M_alt 'P 1'
_space_group_IT_number 1
_cell_length_a 3.7851
_cell_length_b 6.2130
_cell_length_c 9.5173
_cell_angle_alpha 71.42
_cell_angle_beta 90.00
_cell_angle_gamma 90.00
loop_
_space_group_symop_operation_xyz
'x,y,z'
loop_
_atom_site_label
_atom_site_type_symbol
_atom_site_fract_x
_atom_site_fract_y
_atom_site_fract_z
P1 P 0.5000 0.6507 0.2062
P2 P 0.5000 0.3493 0.7938
Al1 Al 0.0000 0.5750 0.3555
Al2 Al 0.0000 0.4250 0.6445
Rb1 Rb 0.9982 0.8121 0.8737
Rb2 Rb 0.0018 0.1879 0.1263
# formation energy from the elements	-0.90	eV/f.u.
# symmetry	P-1, No. 2
# M_tot	0.000	μB per cell
# electronic total energy	-3.67	eV per atom

=====

Entry 6:
# RbAlP (PBE, relaxed)
data_RbAlP
_chemical_formula_sum 'Rb4 Al4 P4'
_space_group_name_H-M_alt 'P 1'
_space_group_IT_number 1
_cell_length_a 9.4696
_cell_length_b 3.9530
_cell_length_c 14.1261
_cell_angle_alpha 90.00
_cell_angle_beta 118.20
_cell_angle_gamma 90.00
loop_
_space_group_symop_operation_xyz
'x,y,z'
loop_
_atom_site_label
_atom_site_type_symbol
_atom_site_fract_x
_atom_site_fract_y
_atom_site_fract_z
P1 P 0.5112 0.0000 0.9366
P2 P 0.5112 0.5000 0.4366
P3 P 0.8390 0.0000 0.6579
P4 P 0.8390 0.5000 0.1579
Al1 Al 0.5542 0.0000 0.5463
Al2 Al 0.5542 0.5000 0.0463
Al3 Al 0.7959 0.0000 0.0482
Al4 Al 0.7959 0.5000 0.5482
Rb1 Rb 0.6773 0.0000 0.2980
Rb2 Rb 0.6773 0.5000 0.7980
Rb3 Rb 0.1765 0.0000 0.2946
Rb4 Rb 0.1765 0.5000 0.7946
# formation energy from the elements	-0.85	eV/f.u.
# symmetry	Cm, No. 8
# density of states at the Fermi level	0.25	states/eV per cell
# M_tot	0.001	μB per cell
# electronic total energy	-3.66	eV per atom

=====

Entry 7:
# RbAlP (PBE, relaxed)
data_RbAlP
_chemical_formula_sum 'Rb3 Al3 P3'
_space_group_name_H-M_alt 'P 1'
_space_group_IT_number 1
_cell_length_a 3.9899
_cell_length_b 3.9899
_cell_length_c 19.0980
_cell_angle_alpha 90.00
_cell_angle_beta 90.00
_cell_angle_gamma 120.00
loop_
_space_group_symop_operation_xyz
'x,y,z'
loop_
_atom_site_label
_atom_site_type_symbol
_atom_site_fract_x
_atom_site_fract_y
_atom_site_fract_z
P1 P 0.0000 0.0000 0.2640
P2 P 0.3333 0.6667 0.9307
P3 P 0.6667 0.3333 0.5973
Al1 Al 0.0000 0.0000 0.5592
Al2 Al 0.3333 0.6667 0.2259
Al3 Al 0.6667 0.3333 0.8925
Rb1 Rb 0.0000 0.0000 0.0668
Rb2 Rb 0.3333 0.6667 0.7334
Rb3 Rb 0.6667 0.3333 0.4001
# formation energy from the elements	-0.72	eV/f.u.
# symmetry	R3m, No. 160
# density of states at the Fermi level	2.41	states/eV per cell
# M_tot	2.559	μB per cell
# electronic total energy	-3.61	eV per atom

=====

Entry 8:
# RbAlP3 (PBE, relaxed)
data_RbAlP3
_chemical_formula_sum 'Rb1 Al1 P3'
_space_group_name_H-M_alt 'P 1'
_space_group_IT_number 1
_cell_length_a 5.4548
_cell_length_b 5.4548
_cell_length_c 5.4548
_cell_angle_alpha 90.00
_cell_angle_beta 90.00
_cell_angle_gamma 90.00
loop_
_space_group_symop_operation_xyz
'x,y,z'
loop_
_atom_site_label
_atom_site_type_symbol
_atom_site_fract_x
_atom_site_fract_y
_atom_site_fract_z
P1 P 0.0000 0.5000 0.0000
P2 P 0.0000 0.0000 0.5000
P3 P 0.5000 0.0000 0.0000
Al1 Al 0.5000 0.5000 0.5000
Rb1 Rb 0.0000 0.0000 0.0000
# formation energy from the elements	10.48	eV/f.u.
# symmetry	Pm-3m, No. 221
# density of states at the Fermi level	7.78	states/eV per cell
# M_tot	0.000	μB per cell
# electronic total energy	-2.09	eV per atom

=====

Entry 9:
# RbAlP (PBE, relaxed)
data_RbAlP
_chemical_formula_sum 'Rb4 Al4 P4'
_space_group_name_H-M_alt 'P 1'
_space_group_IT_number 1
_cell_length_a 9.6532
_cell_length_b 3.8679
_cell_length_c 14.0738
_cell_angle_alpha 90.00
_cell_angle_beta 133.09
_cell_angle_gamma 90.00
loop_
_space_group_symop_operation_xyz
'x,y,z'
loop_
_atom_site_label
_atom_site_type_symbol
_atom_site_fract_x
_atom_site_fract_y
_atom_site_fract_z
P1 P 0.2676 0.0000 0.4998
P2 P 0.7324 0.0000 0.5002
P3 P 0.2676 0.5000 0.9998
P4 P 0.7324 0.5000 0.0002
Al1 Al 0.1361 0.0000 0.9996
Al2 Al 0.8639 0.0000 0.0004
Al3 Al 0.1361 0.5000 0.4996
Al4 Al 0.8639 0.5000 0.5004
Rb1 Rb 0.6902 0.0000 0.1910
Rb2 Rb 0.3098 0.0000 0.8090
Rb3 Rb 0.6902 0.5000 0.6910
Rb4 Rb 0.3098 0.5000 0.3090
# formation energy from the elements	-0.96	eV/f.u.
# symmetry	C2/m, No. 12
# density of states at the Fermi level	0.82	states/eV per cell
# M_tot	0.000	μB per cell
# electronic total energy	-3.69	eV per atom

=====

Entry 10:
# RbAlP3 (PBE, relaxed)
data_RbAlP3
_chemical_formula_sum 'Rb1 Al1 P3'
_space_group_name_H-M_alt 'P 1'
_space_group_IT_number 1
_cell_length_a 4.8592
_cell_length_b 4.8592
_cell_length_c 4.8592
_cell_angle_alpha 90.00
_cell_angle_beta 90.00
_cell_angle_gamma 90.00
loop_
_space_group_symop_operation_xyz
'x,y,z'
loop_
_atom_site_label
_atom_site_type_symbol
_atom_site_fract_x
_atom_site_fract_y
_atom_site_fract_z
P1 P 0.0000 0.5000 0.0000
P2 P 0.0000 0.0000 0.5000
P3 P 0.5000 0.0000 0.0000
Al1 Al 0.0000 0.0000 0.0000
Rb1 Rb 0.5000 0.5000 0.5000
# formation energy from the elements	1.79	eV/f.u.
# symmetry	Pm-3m, No. 221
# density of states at the Fermi level	4.39	states/eV per cell
# M_tot	0.000	μB per cell
# electronic total energy	-3.83	eV per atom